No. 1
DFT (PBE-GGA) results for crystalline KSe2Br at its relaxed geometry.

Calculated values
Fermi-level density of states: 0.2 states/eV per cell
Distance to the lowest polymorph of the same formula: 0 meV per atom
Formation energy without anion corrections: -0.6888 eV/atom
Calculated volume: 38.344 A^3/atom

```
KSe2Br
1.0
7.650 -2.091 0.000
7.650 2.091 0.000
-0.619 0.000 4.793
K Se Br
1 2 1
Cartesian
0.000 0.000 0.000
3.971 0.000 0.586
10.710 0.000 4.207
7.341 0.000 2.397
```

---

No. 2
DFT (PBE-GGA) results for crystalline Li2ZnIrC at its relaxed geometry.

Calculated values
Fermi-level density of states: 1.4 states/eV per cell
Energy of formation: -2 kJ/mol of atoms
Calculated volume: 12.653 A^3/atom

```
Li2ZnIrC
1.0
4.029 0.000 0.000
0.000 4.029 0.000
0.000 0.000 3.898
Li Zn Ir C
2 1 1 1
Cartesian
0.000 2.014 0.000
2.014 0.000 0.000
0.000 0.000 1.949
2.014 2.014 1.949
2.014 2.014 0.000
```

---

Question: Among the records above, which one has the highest Fermi-level density of states?
Answer: Li2ZnIrC